# Tb3HoRh, optimized geometry, DFT PBE
# * formation energy from the elements: -0.191 eV/atom
# * distance to the lowest polymorph of the same formula: 93 meV/atom
data_Tb3HoRh
_symmetry_space_group_name_H-M 'P m -3 m'
_symmetry_Int_Tables_number 221
_symmetry_space_group_name_Hall '-P 4 2 3'
_cell_length_a 5.420
_cell_length_b 5.420
_cell_length_c 5.420
_cell_angle_alpha 90.00
_cell_angle_beta 90.00
_cell_angle_gamma 90.00
loop_
_atom_site_label
_atom_site_type_symbol
_atom_site_fract_x
_atom_site_fract_y
_atom_site_fract_z
_atom_site_occupancy
Tb1 Tb 0.000 0.000 0.500 1
Ho1 Ho 0.500 0.500 0.500 1
Rh1 Rh 0.000 0.000 0.000 1

=====

# LuMgGaPt, optimized geometry, DFT PBE
# * formation energy from the elements: -0.780 eV/atom
data_LuMgGaPt
_symmetry_space_group_name_H-M 'F -4 3 m'
_symmetry_Int_Tables_number 216
_symmetry_space_group_name_Hall 'F -4 2 3'
_cell_length_a 6.702
_cell_length_b 6.702
_cell_length_c 6.702
_cell_angle_alpha 90.00
_cell_angle_beta 90.00
_cell_angle_gamma 90.00
loop_
_atom_site_label
_atom_site_type_symbol
_atom_site_fract_x
_atom_site_fract_y
_atom_site_fract_z
_atom_site_occupancy
Lu1 Lu 0.000 0.000 0.000 1
Mg1 Mg 0.000 0.000 0.500 1
Ga1 Ga 0.250 0.250 0.750 1
Pt1 Pt 0.250 0.250 0.250 1

=====

# AgHgPbO4, optimized geometry, DFT PBE
# * raw formation energy: -0.426 eV per atom
data_AgHgPbO4
_symmetry_space_group_name_H-M 'I m m a'
_symmetry_Int_Tables_number 74
_symmetry_space_group_name_Hall '-I 2b 2'
_cell_length_a 6.513
_cell_length_b 6.695
_cell_length_c 10.244
_cell_angle_alpha 90.00
_cell_angle_beta 90.00
_cell_angle_gamma 90.00
loop_
_atom_site_label
_atom_site_type_symbol
_atom_site_fract_x
_atom_site_fract_y
_atom_site_fract_z
_atom_site_occupancy
Ag1 Ag 0.250 0.250 0.250 1
Hg1 Hg 0.000 0.250 0.653 1
Pb1 Pb 0.000 0.000 0.000 1
O1 O 0.000 0.039 0.222 1
O2 O 0.225 0.250 0.988 1

=====

# Rb5Ge2O5, optimized geometry, DFT PBE
# * raw formation energy: -1.172 eV per atom
data_Rb5Ge2O5
_symmetry_space_group_name_H-M 'C 1 2/m 1'
_symmetry_Int_Tables_number 12
_symmetry_space_group_name_Hall '-C 2y'
_cell_length_a 13.873
_cell_length_b 3.928
_cell_length_c 10.017
_cell_angle_alpha 90.00
_cell_angle_beta 97.54
_cell_angle_gamma 90.00
loop_
_atom_site_label
_atom_site_type_symbol
_atom_site_fract_x
_atom_site_fract_y
_atom_site_fract_z
_atom_site_occupancy
Rb1 Rb 0.000 0.000 0.000 1
Rb2 Rb 0.130 0.000 0.473 1
Rb3 Rb 0.226 0.000 0.172 1
Ge1 Ge 0.039 0.500 0.713 1
O1 O 0.000 0.500 0.500 1
O2 O 0.082 0.500 0.232 1
O3 O 0.100 0.000 0.771 1

=====

# Pm4HgSeS2, optimized geometry, DFT PBE
# * raw formation energy: -1.561 eV per atom
data_Pm4HgSeS2
_symmetry_space_group_name_H-M 'P 1 2/m 1'
_symmetry_Int_Tables_number 10
_symmetry_space_group_name_Hall '-P 2y'
_cell_length_a 7.230
_cell_length_b 4.105
_cell_length_c 7.291
_cell_angle_alpha 90.00
_cell_angle_beta 108.73
_cell_angle_gamma 90.00
loop_
_atom_site_label
_atom_site_type_symbol
_atom_site_fract_x
_atom_site_fract_y
_atom_site_fract_z
_atom_site_occupancy
Pm1 Pm 0.236 0.000 0.228 1
Pm2 Pm 0.251 0.500 0.768 1
Hg1 Hg 0.500 0.500 0.500 1
Se1 Se 0.000 0.000 0.500 1
S1 S 0.000 0.500 0.000 1
S2 S 0.500 0.000 0.000 1

=====

# PmGaSb, optimized geometry, DFT PBE
# * distance to the lowest polymorph of the same formula: 49 meV/atom
# * raw formation energy: -0.505 eV per atom
data_PmGaSb
_symmetry_space_group_name_H-M 'I 4 m m'
_symmetry_Int_Tables_number 107
_symmetry_space_group_name_Hall 'I 4 -2'
_cell_length_a 4.332
_cell_length_b 4.332
_cell_length_c 8.847
_cell_angle_alpha 90.00
_cell_angle_beta 90.00
_cell_angle_gamma 90.00
loop_
_atom_site_label
_atom_site_type_symbol
_atom_site_fract_x
_atom_site_fract_y
_atom_site_fract_z
_atom_site_occupancy
Pm1 Pm 0.000 0.000 0.000 1
Ga1 Ga 0.000 0.000 0.663 1
Sb1 Sb 0.000 0.000 0.363 1

=====

# UCrSb2, optimized geometry, DFT PBE
# * raw formation energy: 0.427 eV per atom
data_UCrSb2
_symmetry_space_group_name_H-M 'R -3 m'
_symmetry_Int_Tables_number 166
_symmetry_space_group_name_Hall '-R 3 2"'
_cell_length_a 3.2278
_cell_length_b 3.2278
_cell_length_c 32.1469
_cell_angle_alpha 90.00
_cell_angle_beta 90.00
_cell_angle_gamma 120.00
loop_
_atom_site_label
_atom_site_type_symbol
_atom_site_fract_x
_atom_site_fract_y
_atom_site_fract_z
_atom_site_occupancy
U1 U 0.0000 0.0000 0.0000 1
Cr1 Cr 0.0000 0.0000 0.5000 1
Sb1 Sb 0.0000 0.0000 0.4156 1

=====

# Ac3Sn3Hg, optimized geometry, DFT PBE
# * formation energy from the elements: -0.642 eV/atom
# * distance to the lowest polymorph of the same formula: 0 meV/atom
data_Ac3Sn3Hg
_symmetry_space_group_name_H-M 'C 1 2/m 1'
_symmetry_Int_Tables_number 12
_symmetry_space_group_name_Hall '-C 2y'
_cell_length_a 12.406
_cell_length_b 4.931
_cell_length_c 16.039
_cell_angle_alpha 90.00
_cell_angle_beta 108.31
_cell_angle_gamma 90.00
loop_
_atom_site_label
_atom_site_type_symbol
_atom_site_fract_x
_atom_site_fract_y
_atom_site_fract_z
_atom_site_occupancy
Ac1 Ac 0.024 0.000 0.380 1
Ac2 Ac 0.105 0.000 0.922 1
Ac3 Ac 0.235 0.000 0.228 1
Sn1 Sn 0.013 0.500 0.226 1
Sn2 Sn 0.117 0.500 0.076 1
Sn3 Sn 0.137 0.500 0.546 1
Hg1 Hg 0.228 0.500 0.387 1

=====

# DyCu2F8, optimized geometry, DFT PBE
# * raw formation energy: -2.246 eV per atom
data_DyCu2F8
_symmetry_space_group_name_H-M 'P -3'
_symmetry_Int_Tables_number 147
_symmetry_space_group_name_Hall '-P 3'
_cell_length_a 6.6630
_cell_length_b 6.6630
_cell_length_c 3.9010
_cell_angle_alpha 90.00
_cell_angle_beta 90.00
_cell_angle_gamma 120.00
loop_
_atom_site_label
_atom_site_type_symbol
_atom_site_fract_x
_atom_site_fract_y
_atom_site_fract_z
_atom_site_occupancy
Dy1 Dy 0.0000 0.0000 0.0000 1
Cu1 Cu 0.3333 0.6667 0.7351 1
F1 F 0.1665 0.3345 0.7340 1
F2 F 0.3333 0.6667 0.2344 1

=====

# SrLa2Cd, optimized geometry, DFT PBE
# * formation energy from the elements: 0.012 eV/atom
data_SrLa2Cd
_symmetry_space_group_name_H-M 'I -4 m 2'
_symmetry_Int_Tables_number 119
_symmetry_space_group_name_Hall 'I -4 -2'
_cell_length_a 5.097
_cell_length_b 5.097
_cell_length_c 10.724
_cell_angle_alpha 90.00
_cell_angle_beta 90.00
_cell_angle_gamma 90.00
loop_
_atom_site_label
_atom_site_type_symbol
_atom_site_fract_x
_atom_site_fract_y
_atom_site_fract_z
_atom_site_occupancy
Sr1 Sr 0.000 0.000 0.000 1
La1 La 0.000 0.000 0.500 1
La2 La 0.000 0.500 0.250 1
Cd1 Cd 0.000 0.500 0.750 1

=====

# Y2Cu2Si, optimized geometry, DFT PBE
# * raw formation energy: -0.208 eV per atom
data_Y2Cu2Si
_symmetry_space_group_name_H-M 'I 4/m m m'
_symmetry_Int_Tables_number 139
_symmetry_space_group_name_Hall '-I 4 2'
_cell_length_a 3.421
_cell_length_b 3.421
_cell_length_c 17.276
_cell_angle_alpha 90.00
_cell_angle_beta 90.00
_cell_angle_gamma 90.00
loop_
_atom_site_label
_atom_site_type_symbol
_atom_site_fract_x
_atom_site_fract_y
_atom_site_fract_z
_atom_site_occupancy
Y1 Y 0.000 0.000 0.106 1
Cu1 Cu 0.000 0.500 0.250 1
Si1 Si 0.000 0.000 0.500 1

=====

# Ba2Ge3PdAu4, optimized geometry, DFT PBE
# * formation energy from the elements: -0.480 eV/atom
data_Ba2Ge3PdAu4
_symmetry_space_group_name_H-M 'P -4 m 2'
_symmetry_Int_Tables_number 115
_symmetry_space_group_name_Hall 'P -4 -2'
_cell_length_a 4.695
_cell_length_b 4.695
_cell_length_c 10.632
_cell_angle_alpha 90.00
_cell_angle_beta 90.00
_cell_angle_gamma 90.00
loop_
_atom_site_label
_atom_site_type_symbol
_atom_site_fract_x
_atom_site_fract_y
_atom_site_fract_z
_atom_site_occupancy
Ba1 Ba 0.000 0.500 0.243 1
Ge1 Ge 0.000 0.000 0.000 1
Ge2 Ge 0.000 0.500 0.621 1
Pd1 Pd 0.500 0.500 0.000 1
Au1 Au 0.000 0.000 0.500 1
Au2 Au 0.000 0.500 0.867 1
Au3 Au 0.500 0.500 0.500 1

=====

DFT total energy (computed, Ry per atom): -0.3936 -0.3363 -0.3116 -0.3242 -0.3999 -0.3286 -0.5043 -0.3058 -0.3506 -0.2279 -0.4055 -0.2998
Density of states at the Fermi level (computed, states/eV/cell): 8.1 6.2 15.3 2.4 3.1 2.4 18.4 24.1 10.9 9.9 7.0 5.2